Here is a relaxed Er3ThTl3 crystal from the Alexandria database. Energies are from PBE.

The energy of formation from the pure elements comes out at -0.0487 eV/atom. Its magnetization is 0.0 μB per cell.

It has space group P6_3/m (No. 176), with a = 9.1269 Å, b = 9.1269 Å, c = 5.6309 Å, α = 90.00°, β = 90.00° and γ = 120.00°. The distinct sites, in fractional coordinates, are Er at (0.0955, 0.6402, 0.2500), Th at (0.3333, 0.6667, 0.7500) and Tl at (0.0409, 0.8020, 0.7500).